12
Lattice="-1.688 4.645 -4.633 1.842 -3.730 -4.411 -5.841 -0.797 1.329" Properties=species:S:1:pos:R:3 comment="DyHfC | Alexandria via LeMat-Bulk | GGA-PBE | optimized geometry" volume_a3_per_atom=19.195 ef_ev_per_fu=-1.061 polymorph_energy_mev_per_atom=32 pbc="T T T"
C -1.804 2.076 -5.889
C -0.475 -0.914 -6.973
C -5.212 1.032 -0.742
C -3.882 -1.958 -1.826
Dy -1.856 -2.668 -3.149
Dy -3.831 2.785 -4.566
Dy -2.459 -0.323 -5.531
Dy -3.228 0.440 -2.183
Hf -0.693 2.089 -3.895
Hf -0.176 1.336 -7.211
Hf -4.994 -1.971 -3.819
Hf -5.511 -1.219 -0.504